No. 1
9
Lattice="3.4846 0.0000 0.0000 -1.7423 3.0177 0.0000 0.0000 0.0000 25.1903" Properties=species:S:1:pos:R:3 comment="Dy4Ho2Sc3 | the Alexandria database | PBE | optimized geometry" ef_mev_per_atom=58 dos_at_fermi_per_ev_fu=14.17 magmom_total_mub_per_cell=0.0 relative_energy_ev_per_atom=0.0000 final_energy_ev_per_atom=-5.12 pbc="T T T"
Dy 0.0000 0.0000 0.0000
Dy 0.0000 0.0000 5.2990
Dy 0.0000 2.0118 8.2213
Dy 0.0000 2.0118 13.5520
Ho 0.0000 0.0000 16.4555
Ho 0.0000 0.0000 21.7307
Sc 0.0000 0.0000 10.8856
Sc 0.0000 2.0118 2.6254
Sc 0.0000 2.0118 19.1132

No. 2
5
Lattice="4.6767 0.0000 0.0000 0.0000 4.6767 0.0000 0.0000 0.0000 5.2006" Properties=species:S:1:pos:R:3 comment="Al2CrInSi | the Alexandria database | PBE | optimized geometry" dos_at_fermi_per_ev_fu=5.13 magmom_total_mub_per_cell=0.0 e_form_raw_ev_per_atom=1.271 final_energy_ev_per_atom=-3.78 pbc="T T T"
Al 0.0000 2.3384 0.0000
Al 2.3384 0.0000 0.0000
Cr 0.0000 0.0000 2.6003
In 2.3384 2.3384 2.6003
Si 2.3384 2.3384 0.0000

No. 3
5
Lattice="4.0387 0.0000 0.0000 0.0000 4.0387 0.0000 0.0000 0.0000 4.0387" Properties=species:S:1:pos:R:3 comment="B3RhBr | the Alexandria database | PBE | optimized geometry" dos_at_fermi_per_ev_fu=4.00 magmom_total_mub_per_cell=0.0 relative_energy_ev_per_atom=1.5007 e_form_raw_ev_per_atom=2.567 final_energy_ev_per_atom=-3.24 pbc="T T T"
B 0.0000 0.0000 2.0193
B 0.0000 2.0193 0.0000
B 2.0193 0.0000 0.0000
Rh 2.0193 2.0193 2.0193
Br 0.0000 0.0000 0.0000